Record 1
First-principles (PBE) data for a geometry-optimized Cs12K6Cl structure, as listed in the Alexandria database.

Geometry as CIF:
```
data_Cs12K6Cl
_chemical_formula_sum 'Cs36 K18 Cl3'
_cell_length_a 15.6252
_cell_length_b 15.6252
_cell_length_c 25.0617
_cell_angle_alpha 90.00
_cell_angle_beta 90.00
_cell_angle_gamma 120.00
_symmetry_space_group_name_H-M 'R -3'
_symmetry_Int_Tables_number 148
_symmetry_space_group_name_Hall '-R 3'
loop_
_atom_site_label
_atom_site_fract_x
_atom_site_fract_y
_atom_site_fract_z
Cs1 0.1048 0.8915 0.4140
Cs2 0.1095 0.2237 0.0841
K1 0.1079 0.2157 0.7552
Cl1 0.0000 0.0000 0.5000
```

Results
V	92.96	A^3/atom
electronic total energy	-1.17	eV/atom
formation energy from raw total energies	-0.1847	eV/atom
DOS at the Fermi energy	54.4	states/eV/cell
crystal system	trigonal
total magnetic moment	0.0000	μB/atom

Record 2
First-principles (PBE) data for a geometry-optimized Y2ZrMn structure, as listed in the Alexandria database.

Geometry as CIF:
```
data_Y2ZrMn
_chemical_formula_sum 'Y4 Zr2 Mn2'
_cell_length_a 3.5501
_cell_length_b 5.2810
_cell_length_c 10.3688
_cell_angle_alpha 90.00
_cell_angle_beta 90.00
_cell_angle_gamma 90.00
_symmetry_space_group_name_H-M 'I m m 2'
_symmetry_Int_Tables_number 44
loop_
_symmetry_equiv_pos_as_xyz
'x,y,z'
'-x,-y,z'
'-x,y,z'
'x,-y,z'
'x+1/2,y+1/2,z+1/2'
'-x+1/2,-y+1/2,z+1/2'
'-x+1/2,y+1/2,z+1/2'
'x+1/2,-y+1/2,z+1/2'
loop_
_atom_site_label
_atom_site_fract_x
_atom_site_fract_y
_atom_site_fract_z
Y1 0.0000 0.0000 0.0000
Y2 0.0000 0.5000 0.2063
Zr1 0.0000 0.5000 0.7980
Mn1 0.0000 0.0000 0.4775
```

Results
V	24.30	A^3/atom
electronic total energy	-7.52	eV/atom
DOS at the Fermi energy	12.1	states/eV/cell
energy above the lowest structure with this stoichiometry	35.3	meV per atom
crystal system	orthorhombic
total magnetic moment	0.3413	μB/atom
energy of formation	0.1411	eV per atom

Record 3
First-principles (PBE) data for a geometry-optimized AlTcMo4 structure, as listed in the Alexandria database.

Geometry as CIF:
```
data_AlTcMo4
_chemical_formula_sum 'Al4 Tc4 Mo16'
_cell_length_a 7.3154
_cell_length_b 7.3154
_cell_length_c 7.3154
_cell_angle_alpha 90.00
_cell_angle_beta 90.00
_cell_angle_gamma 90.00
_symmetry_space_group_name_H-M 'F -4 3 m'
_symmetry_Int_Tables_number 216
_symmetry_space_group_name_Hall 'F -4 2 3'
loop_
_atom_site_label
_atom_site_fract_x
_atom_site_fract_y
_atom_site_fract_z
Al1 0.0000 0.0000 0.0000
Tc1 0.2500 0.2500 0.2500
Mo1 0.1256 0.1256 0.6256
```

Results
V	16.31	A^3/atom
electronic total energy	-9.32	eV/atom
DOS at the Fermi energy	24.7	states/eV/cell
crystal system	cubic
total magnetic moment	0.0001	μB/atom
energy of formation	0.2479	eV per atom

Record 4
First-principles (PBE) data for a geometry-optimized V2InI structure, as listed in the Alexandria database.

Geometry as CIF:
```
data_V2InI
_chemical_formula_sum 'V8 In4 I4'
_cell_length_a 7.5534
_cell_length_b 7.5534
_cell_length_c 6.6024
_cell_angle_alpha 90.00
_cell_angle_beta 90.00
_cell_angle_gamma 90.00
_symmetry_space_group_name_H-M 'I -4 2 d'
_symmetry_Int_Tables_number 122
_symmetry_space_group_name_Hall 'I -4 2bw'
loop_
_atom_site_label
_atom_site_fract_x
_atom_site_fract_y
_atom_site_fract_z
V1 0.2334 0.2500 0.1250
In1 0.0000 0.0000 0.5000
I1 0.0000 0.0000 0.0000
```

Results
V	23.54	A^3/atom
electronic total energy	-4.74	eV/atom
formation energy from raw total energies	0.8923	eV/atom
DOS at the Fermi energy	29.1	states/eV/cell
energy above the lowest structure with this stoichiometry	130.9	meV per atom
crystal system	tetragonal
total magnetic moment	1.4606	μB/atom

Record 5
First-principles (PBE) data for a geometry-optimized SiAs2Cl structure, as listed in the Alexandria database.

Geometry as CIF:
```
data_SiAs2Cl
_chemical_formula_sum 'Si2 As4 Cl2'
_cell_length_a 4.7362
_cell_length_b 4.7362
_cell_length_c 6.6799
_cell_angle_alpha 90.00
_cell_angle_beta 90.00
_cell_angle_gamma 90.00
_symmetry_space_group_name_H-M 'I -4 m 2'
_symmetry_Int_Tables_number 119
_symmetry_space_group_name_Hall 'I -4 -2'
loop_
_atom_site_label
_atom_site_fract_x
_atom_site_fract_y
_atom_site_fract_z
Si1 0.0000 0.0000 0.0000
As1 0.0000 0.0000 0.5000
As2 0.0000 0.5000 0.2500
Cl1 0.0000 0.5000 0.7500
```

Results
V	18.73	A^3/atom
electronic total energy	-3.73	eV/atom
formation energy from raw total energies	0.4116	eV/atom
DOS at the Fermi energy	3.0	states/eV/cell
energy above the lowest structure with this stoichiometry	465.1	meV per atom
crystal system	tetragonal
total magnetic moment	0.0000	μB/atom

Record 6
First-principles (PBE) data for a geometry-optimized CdHgH3 structure, as listed in the Alexandria database.

Geometry as CIF:
```
data_CdHgH3
_chemical_formula_sum 'Cd1 Hg1 H3'
_cell_length_a 4.0163
_cell_length_b 4.0163
_cell_length_c 4.0163
_cell_angle_alpha 90.00
_cell_angle_beta 90.00
_cell_angle_gamma 90.00
_symmetry_space_group_name_H-M 'P m -3 m'
_symmetry_Int_Tables_number 221
_symmetry_space_group_name_Hall '-P 4 2 3'
loop_
_atom_site_label
_atom_site_fract_x
_atom_site_fract_y
_atom_site_fract_z
Cd1 0.0000 0.0000 0.0000
Hg1 0.5000 0.5000 0.5000
H1 0.0000 0.0000 0.5000
```

Results
V	12.96	A^3/atom
electronic total energy	-1.70	eV/atom
DOS at the Fermi energy	1.3	states/eV/cell
energy above the lowest structure with this stoichiometry	0.0	meV per atom
crystal system	cubic
total magnetic moment	0.0000	μB/atom

Record 7
First-principles (PBE) data for a geometry-optimized CeMg6 structure, as listed in the Alexandria database.

Geometry as CIF:
```
data_CeMg6
_chemical_formula_sum 'Ce2 Mg12'
_cell_length_a 7.7087
_cell_length_b 7.7087
_cell_length_c 7.7087
_cell_angle_alpha 90.00
_cell_angle_beta 90.00
_cell_angle_gamma 90.00
_symmetry_space_group_name_H-M 'I m -3 m'
_symmetry_Int_Tables_number 229
_symmetry_space_group_name_Hall '-I 4 2 3'
loop_
_atom_site_label
_atom_site_fract_x
_atom_site_fract_y
_atom_site_fract_z
Ce1 0.0000 0.0000 0.0000
Mg1 0.0000 0.2500 0.5000
```

Results
V	32.72	A^3/atom
electronic total energy	-1.54	eV/atom
DOS at the Fermi energy	26.6	states/eV/cell
energy above the lowest structure with this stoichiometry	646.4	meV per atom
crystal system	cubic
total magnetic moment	0.2075	μB/atom
energy of formation	0.6779	eV per atom

Record 8
First-principles (PBE) data for a geometry-optimized TlRe2Os structure, as listed in the Alexandria database.

Geometry as CIF:
```
data_TlRe2Os
_chemical_formula_sum 'Tl2 Re4 Os2'
_cell_length_a 2.8824
_cell_length_b 4.8427
_cell_length_c 9.7694
_cell_angle_alpha 90.00
_cell_angle_beta 90.00
_cell_angle_gamma 90.00
_symmetry_space_group_name_H-M 'C m m m'
_symmetry_Int_Tables_number 65
_symmetry_space_group_name_Hall '-C 2 2'
loop_
_atom_site_label
_atom_site_fract_x
_atom_site_fract_y
_atom_site_fract_z
Tl1 0.0000 0.0000 0.0000
Re1 0.0000 0.5000 0.2737
Os1 0.0000 0.0000 0.5000
```

Results
V	17.05	A^3/atom
electronic total energy	-8.71	eV/atom
DOS at the Fermi energy	8.3	states/eV/cell
energy above the lowest structure with this stoichiometry	327.1	meV per atom
crystal system	orthorhombic
total magnetic moment	0.0000	μB/atom
energy of formation	0.9121	eV per atom

Record 9
First-principles (PBE) data for a geometry-optimized FeNi2Br2 structure, as listed in the Alexandria database.

Geometry as CIF:
```
data_FeNi2Br2
_chemical_formula_sum 'Fe2 Ni4 Br4'
_cell_length_a 3.3521
_cell_length_b 3.3521
_cell_length_c 14.9803
_cell_angle_alpha 90.00
_cell_angle_beta 90.00
_cell_angle_gamma 90.00
_symmetry_space_group_name_H-M 'I 4/m m m'
_symmetry_Int_Tables_number 139
_symmetry_space_group_name_Hall '-I 4 2'
loop_
_atom_site_label
_atom_site_fract_x
_atom_site_fract_y
_atom_site_fract_z
Fe1 0.0000 0.0000 0.0000
Ni1 0.0000 0.5000 0.2500
Br1 0.0000 0.0000 0.3895
```

Results
V	16.83	A^3/atom
electronic total energy	-4.08	eV/atom
formation energy from raw total energies	0.5968	eV/atom
DOS at the Fermi energy	9.2	states/eV/cell
energy above the lowest structure with this stoichiometry	0.0	meV per atom
crystal system	tetragonal
total magnetic moment	0.7719	μB/atom

Record 10
First-principles (PBE) data for a geometry-optimized Tm2PuC structure, as listed in the Alexandria database.

Geometry as CIF:
```
data_Tm2PuC
_chemical_formula_sum 'Tm6 Pu3 C3'
_cell_length_a 3.4479
_cell_length_b 3.4479
_cell_length_c 28.6598
_cell_angle_alpha 90.00
_cell_angle_beta 90.00
_cell_angle_gamma 120.00
_symmetry_space_group_name_H-M 'R -3 m'
_symmetry_Int_Tables_number 166
_symmetry_space_group_name_Hall '-R 3 2"'
loop_
_atom_site_label
_atom_site_fract_x
_atom_site_fract_y
_atom_site_fract_z
Tm1 0.0000 0.0000 0.1198
Pu1 0.0000 0.0000 0.0000
C1 0.0000 0.0000 0.5000
```

Results
V	24.59	A^3/atom
electronic total energy	-8.14	eV/atom
DOS at the Fermi energy	28.8	states/eV/cell
crystal system	trigonal
total magnetic moment	1.5597	μB/atom
energy of formation	-0.0154	eV per atom

Record 11
First-principles (PBE) data for a geometry-optimized K4AlBr7 structure, as listed in the Alexandria database.

Geometry as CIF:
```
data_K4AlBr7
_chemical_formula_sum 'K8 Al2 Br14'
_cell_length_a 14.6109
_cell_length_b 6.7453
_cell_length_c 10.0948
_cell_angle_alpha 90.00
_cell_angle_beta 109.94
_cell_angle_gamma 90.00
_symmetry_space_group_name_H-M 'C 1 2 1'
_symmetry_Int_Tables_number 5
loop_
_symmetry_equiv_pos_as_xyz
'x,y,z'
'-x,y,-z'
'x+1/2,y+1/2,z'
'-x+1/2,y+1/2,-z'
loop_
_atom_site_label
_atom_site_fract_x
_atom_site_fract_y
_atom_site_fract_z
K1 0.0957 0.0000 0.2710
K2 0.1422 0.4887 0.9698
Al1 0.0000 0.4983 0.5000
Br1 0.0000 0.8444 0.5000
Br2 0.0705 0.4961 0.2827
Br3 0.1290 0.9874 0.9729
Br4 0.1420 0.3349 0.6388
```

Results
V	38.97	A^3/atom
electronic total energy	-3.16	eV/atom
formation energy from raw total energies	-1.5074	eV/atom
DOS at the Fermi energy	0.0	states/eV/cell
crystal system	monoclinic
total magnetic moment	0.0103	μB/atom

Record 12
First-principles (PBE) data for a geometry-optimized NaLiZr structure, as listed in the Alexandria database.

Geometry as CIF:
```
data_NaLiZr
_chemical_formula_sum 'Na4 Li4 Zr4'
_cell_length_a 5.6428
_cell_length_b 3.2374
_cell_length_c 16.8394
_cell_angle_alpha 90.00
_cell_angle_beta 96.22
_cell_angle_gamma 90.00
_symmetry_space_group_name_H-M 'C 1 2/m 1'
_symmetry_Int_Tables_number 12
loop_
_symmetry_equiv_pos_as_xyz
'x,y,z'
'-x,-y,-z'
'-x,y,-z'
'x,-y,z'
'x+1/2,y+1/2,z'
'-x+1/2,-y+1/2,-z'
'-x+1/2,y+1/2,-z'
'x+1/2,-y+1/2,z'
loop_
_atom_site_label
_atom_site_fract_x
_atom_site_fract_y
_atom_site_fract_z
Na1 0.1965 0.0000 0.0986
Li1 0.0706 0.0000 0.7297
Zr1 0.1890 0.5000 0.5724
```

Results
V	25.48	A^3/atom
electronic total energy	-3.79	eV/atom
DOS at the Fermi energy	9.6	states/eV/cell
crystal system	monoclinic
total magnetic moment	0.0000	μB/atom
energy of formation	0.1327	eV per atom